A) Material: CoTe3Rh
Method: DFT, PBE-GGA
State: optimized geometry

It has space group C2/c (No. 15), with a = 12.622 Å, b = 11.077 Å, c = 6.927 Å, α = 90.00°, β = 99.95° and γ = 90.00°. The asymmetric unit holds Co at (0.244, 0.071, 0.026), Te at (0.119, 0.431, 0.625), Te at (0.123, 0.053, 0.702), Te at (0.136, 0.263, 0.086), Rh at (0.000, 0.248, 0.750) and Rh at (0.000, 0.396, 0.250).

As for the density of states at the Fermi level: 30.1 states/eV/cell.

B) Material: CoTe3Rh
Method: DFT, PBE-GGA
State: optimized geometry

It has space group Pm-3m (No. 221), with a = 4.902 Å, b = 4.902 Å, c = 4.902 Å, α = 90.00°, β = 90.00° and γ = 90.00°. The asymmetric unit holds Co at (0.000, 0.000, 0.000), Te at (0.000, 0.000, 0.500) and Rh at (0.500, 0.500, 0.500).

As for the density of states at the Fermi level: 5.7 states/eV/cell.

Question: which arrangement is favored energetically? Ranking from most to least stable: A), B).